DFT (GGA-PBE) results for crystalline Cd2Te2Cl at its relaxed geometry.

Properties
Formation energy without anion corrections in meV per atom: -149.7
Spin magnetization in μB/f.u.: 0.0
E above lowest polymorph in meV per atom: 171

a = 7.9372 Å, b = 7.9372 Å, c = 7.9372 Å
α = 147.02°, β = 147.02°, γ = 47.34°
Last column: nearest neighbours and their distance in Å.
Atoms (fractional coordinates):
Cd  0.0929  0.0929  0.0000  1 Cd 2.70
Cd  0.9071  0.9071  0.0000  1 Cd 2.70
Te  0.2500  0.7500  0.5000  4 Te 3.19, 4 Cd 3.21
Te  0.7500  0.2500  0.5000  4 Te 3.19, 4 Cd 3.21
Cl  0.5000  0.5000  0.0000  8 Cd 3.46

=====

DFT (GGA-PBE) results for crystalline SrAl6Cu2 at its relaxed geometry.

Properties
ΔE_f in eV/atom: -0.13
Spin magnetization in μB/f.u.: 0.0

a = 6.7755 Å, b = 6.7755 Å, c = 4.0498 Å
α = 106.85°, β = 106.85°, γ = 90.55°
Last column: nearest neighbours and their distance in Å.
Atoms (fractional coordinates):
Sr  0.0000  0.0000  0.0000  2 Cu 3.11, 4 Al 3.32
Al  0.1387  0.4367  0.7895  2 Cu 2.55-2.56, 3 Al 2.77-2.85
Al  0.2734  0.7266  0.5000  2 Cu 2.51, 2 Al 2.77
Al  0.4367  0.1387  0.7895  2 Cu 2.55-2.56, 3 Al 2.77-2.85
Al  0.5633  0.8613  0.2105  2 Cu 2.55-2.56, 3 Al 2.77-2.85
Al  0.7266  0.2734  0.5000  2 Cu 2.51, 2 Al 2.77
Al  0.8613  0.5633  0.2105  2 Cu 2.55-2.56, 3 Al 2.77-2.85
Cu  0.3574  0.3574  0.3588  1 Cu 2.48, 6 Al 2.51-2.56
Cu  0.6426  0.6426  0.6412  1 Cu 2.48, 6 Al 2.51-2.56

=====

DFT (GGA-PBE) results for crystalline Ti12Ga6Mo at its relaxed geometry.

Properties
ΔE_f in eV/atom: -0.23
Spin magnetization in μB/f.u.: 0.0

a = 6.7939 Å, b = 6.7939 Å, c = 6.7939 Å
α = 90.34°, β = 90.34°, γ = 90.34°
Last column: nearest neighbours and their distance in Å.
Atoms (fractional coordinates):
Ti  0.0233  0.3030  0.9418  4 Ga 2.66-2.84, 4 Ti 2.78-2.81
Ti  0.0582  0.9767  0.6970  4 Ga 2.66-2.84, 4 Ti 2.78-2.81
Ti  0.1299  0.3555  0.4541  1 Mo 2.71, 4 Ti 2.72-2.78, 5 Ga 2.78-2.94
Ti  0.3030  0.9418  0.0233  4 Ga 2.66-2.84, 4 Ti 2.78-2.81
Ti  0.3555  0.4541  0.1299  1 Mo 2.71, 4 Ti 2.72-2.78, 5 Ga 2.78-2.94
Ti  0.4541  0.1299  0.3555  1 Mo 2.71, 4 Ti 2.72-2.78, 5 Ga 2.78-2.94
Ti  0.5459  0.8701  0.6445  1 Mo 2.71, 4 Ti 2.72-2.78, 5 Ga 2.78-2.94
Ti  0.6445  0.5459  0.8701  1 Mo 2.71, 4 Ti 2.72-2.78, 5 Ga 2.78-2.94
Ti  0.6970  0.0582  0.9767  4 Ga 2.66-2.84, 4 Ti 2.78-2.81
Ti  0.8701  0.6445  0.5459  1 Mo 2.71, 4 Ti 2.72-2.78, 5 Ga 2.78-2.94
Ti  0.9418  0.0233  0.3030  4 Ga 2.66-2.84, 4 Ti 2.78-2.81
Ti  0.9767  0.6970  0.0582  4 Ga 2.66-2.84, 4 Ti 2.78-2.81
Ga  0.2239  0.7634  0.3789  9 Ti 2.66-2.94, 1 Mo 2.73, 2 Ga 2.87
Ga  0.2366  0.6211  0.7761  9 Ti 2.66-2.94, 1 Mo 2.73, 2 Ga 2.87
Ga  0.3789  0.2239  0.7634  9 Ti 2.66-2.94, 1 Mo 2.73, 2 Ga 2.87
Ga  0.6211  0.7761  0.2366  9 Ti 2.66-2.94, 1 Mo 2.73, 2 Ga 2.87
Ga  0.7634  0.3789  0.2239  9 Ti 2.66-2.94, 1 Mo 2.73, 2 Ga 2.87
Ga  0.7761  0.2366  0.6211  9 Ti 2.66-2.94, 1 Mo 2.73, 2 Ga 2.87
Mo  0.5000  0.5000  0.5000  6 Ti 2.71, 6 Ga 2.73

=====

DFT (GGA-PBE) results for crystalline Sb2TeIF at its relaxed geometry.

Properties
Formation energy without anion corrections in meV per atom: 68.7
Spin magnetization in μB/f.u.: 0.0
E above lowest polymorph in meV per atom: 0

a = 4.7730 Å, b = 4.7730 Å, c = 6.0964 Å
α = 90.00°, β = 90.00°, γ = 90.00°
Last column: nearest neighbours and their distance in Å.
Atoms (fractional coordinates):
Sb  0.0000  0.5000  0.0000  2 F 2.39
Sb  0.5000  0.0000  0.0000  2 F 2.39
Te  0.0000  0.0000  0.5000  4 I 3.38
I  0.5000  0.5000  0.5000  2 F 3.05, 4 Te 3.38
F  0.5000  0.5000  0.0000  4 Sb 2.39

=====

DFT (GGA-PBE) results for crystalline CdSbPd2 at its relaxed geometry.

Properties
Formation energy without anion corrections in meV per atom: -357.9
Spin magnetization in μB/f.u.: 0.0

a = 8.0338 Å, b = 7.2319 Å, c = 5.7139 Å
α = 90.00°, β = 90.00°, γ = 90.00°
Last column: nearest neighbours and their distance in Å.
Atoms (fractional coordinates):
Cd  0.1145  0.0874  0.2500  6 Pd 2.81-2.86
Cd  0.1145  0.4126  0.7500  6 Pd 2.81-2.86
Cd  0.8855  0.5874  0.2500  6 Pd 2.81-2.86
Cd  0.8855  0.9126  0.7500  6 Pd 2.81-2.86
Sb  0.3736  0.5671  0.2500  6 Pd 2.66-2.74
Sb  0.3736  0.9329  0.7500  6 Pd 2.66-2.74
Sb  0.6264  0.0671  0.2500  6 Pd 2.66-2.74
Sb  0.6264  0.4329  0.7500  6 Pd 2.66-2.74
Pd  0.1479  0.7500  0.0000  2 Sb 2.66, 4 Cd 2.81-2.84, 2 Pd 2.86
Pd  0.1479  0.7500  0.5000  2 Sb 2.66, 4 Cd 2.81-2.84, 2 Pd 2.86
Pd  0.3861  0.2500  0.0000  4 Sb 2.70-2.74, 2 Pd 2.86, 2 Cd 2.86
Pd  0.3861  0.2500  0.5000  4 Sb 2.70-2.74, 2 Pd 2.86, 2 Cd 2.86
Pd  0.6139  0.7500  0.0000  4 Sb 2.70-2.74, 2 Pd 2.86, 2 Cd 2.86
Pd  0.6139  0.7500  0.5000  4 Sb 2.70-2.74, 2 Pd 2.86, 2 Cd 2.86
Pd  0.8521  0.2500  0.0000  2 Sb 2.66, 4 Cd 2.81-2.84, 2 Pd 2.86
Pd  0.8521  0.2500  0.5000  2 Sb 2.66, 4 Cd 2.81-2.84, 2 Pd 2.86

=====

DFT (GGA-PBE) results for crystalline FeBRuSe2 at its relaxed geometry.

Properties
Formation energy without anion corrections in meV per atom: 1597.6
Spin magnetization in μB/f.u.: 0.6

a = 4.5382 Å, b = 4.5382 Å, c = 4.5451 Å
α = 90.00°, β = 90.00°, γ = 90.00°
Last column: nearest neighbours and their distance in Å.
Atoms (fractional coordinates):
Fe  0.0000  0.0000  0.0000  4 Se 2.27, 2 Ru 2.27
B  0.5000  0.5000  0.5000  4 Ru 3.21, 8 Se 3.21
Ru  0.0000  0.0000  0.5000  2 Fe 2.27
Se  0.0000  0.5000  0.0000  2 Fe 2.27
Se  0.5000  0.0000  0.0000  2 Fe 2.27

=====

DFT (GGA-PBE) results for crystalline Ce4V at its relaxed geometry.

Properties
ΔE_f in eV/atom: 0.43
Spin magnetization in μB/f.u.: 1.9

a = 5.2139 Å, b = 5.2139 Å, c = 5.2139 Å
α = 90.00°, β = 90.00°, γ = 90.00°
Last column: nearest neighbours and their distance in Å.
Atoms (fractional coordinates):
Ce  0.0000  0.0000  0.0000  12 Ce 3.69
Ce  0.0000  0.5000  0.5000  2 V 2.61
Ce  0.5000  0.0000  0.5000  2 V 2.61
Ce  0.5000  0.5000  0.0000  2 V 2.61
V  0.5000  0.5000  0.5000  6 Ce 2.61

=====

DFT (GGA-PBE) results for crystalline CrFe3N at its relaxed geometry.

Properties
Formation energy without anion corrections in meV per atom: 31.4
Spin magnetization in μB/f.u.: 2.8
E above lowest polymorph in meV per atom: 0

a = 3.8089 Å, b = 3.8089 Å, c = 3.8089 Å
α = 90.00°, β = 90.00°, γ = 90.00°
Last column: nearest neighbours and their distance in Å.
Atoms (fractional coordinates):
Cr  0.0000  0.0000  0.0000  12 Fe 2.69
Fe  0.0000  0.5000  0.5000  2 N 1.90
Fe  0.5000  0.0000  0.5000  2 N 1.90
Fe  0.5000  0.5000  0.0000  2 N 1.90
N  0.5000  0.5000  0.5000  6 Fe 1.90

=====

DFT (GGA-PBE) results for crystalline BaPrIn2Sn2 at its relaxed geometry.

Properties
ΔE_f in eV/atom: -0.52
Spin magnetization in μB/f.u.: 0.0

a = 4.7693 Å, b = 4.7693 Å, c = 10.0155 Å
α = 90.00°, β = 90.00°, γ = 120.00°
Last column: nearest neighbours and their distance in Å.
Atoms (fractional coordinates):
Ba  0.0000  0.0000  0.0000  6 In 3.53
Pr  0.0000  0.0000  0.5000  6 Sn 3.28
In  0.3333  0.6667  0.7802  3 Sn 2.94
In  0.6667  0.3333  0.2198  3 Sn 2.94
Sn  0.3333  0.6667  0.3227  3 In 2.94, 3 Pr 3.28
Sn  0.6667  0.3333  0.6773  3 In 2.94, 3 Pr 3.28

=====

DFT (GGA-PBE) results for crystalline ErTh2Mg at its relaxed geometry.

Properties
ΔE_f in eV/atom: 0.12
Spin magnetization in μB/f.u.: 0.0
E above lowest polymorph in meV per atom: 111

a = 5.6878 Å, b = 5.6878 Å, c = 3.7154 Å
α = 90.00°, β = 90.00°, γ = 90.00°
Last column: nearest neighbours and their distance in Å.
Atoms (fractional coordinates):
Er  0.0000  0.0000  0.0000  8 Th 3.40, 2 Er 3.72
Th  0.0000  0.5000  0.5000  4 Mg 3.40, 4 Er 3.40, 2 Th 3.72
Th  0.5000  0.0000  0.5000  4 Mg 3.40, 4 Er 3.40, 2 Th 3.72
Mg  0.5000  0.5000  0.0000  8 Th 3.40, 2 Mg 3.72

=====

DFT (GGA-PBE) results for crystalline TaAu2Br at its relaxed geometry.

Properties
Formation energy without anion corrections in meV per atom: 26.8
Spin magnetization in μB/f.u.: 0.0
E above lowest polymorph in meV per atom: 25

a = 3.3777 Å, b = 3.3482 Å, c = 8.0881 Å
α = 90.00°, β = 100.94°, γ = 90.00°
Last column: nearest neighbours and their distance in Å.
Atoms (fractional coordinates):
Ta  0.0000  0.0000  0.0000  2 Br 2.60, 4 Au 2.79
Au  0.4167  0.5000  0.8165  4 Ta 2.79, 4 Au 2.82
Au  0.8298  0.0000  0.6251  4 Au 2.82, 1 Ta 2.98
Br  0.1135  0.5000  0.2506  2 Ta 2.60